A relaxed structure of Nd2TlGe2Rh5. Source: Alexandria, functional PBE-GGA.

Results
DFT total energy (eV per atom): -6.4496
Energy relative to the elements (meV/atom): -660
Calculated volume (Å³/cell): 368.96
Spin magnetization (Bohr magnetons per cell): 0.000

Unit cell a=10.0427 b=10.0427 c=3.6583 alpha=90.00 beta=90.00 gamma=90.00
Last column: nearest neighbours and their distance in Å.
Fractional coordinates of all 20 atoms:
Nd  0.1762  0.3238  0.0000  3 Ge 2.88-3.04, 6 Rh 3.10-3.18
Nd  0.3238  0.8238  0.0000  3 Ge 2.88-3.04, 6 Rh 3.10-3.18
Nd  0.6762  0.1762  0.0000  3 Ge 2.88-3.04, 6 Rh 3.10-3.18
Nd  0.8238  0.6762  0.0000  3 Ge 2.88-3.04, 6 Rh 3.10-3.18
Tl  0.0000  0.0000  0.0000  8 Rh 2.93
Tl  0.5000  0.5000  0.0000  8 Rh 2.93
Ge  0.1212  0.6212  0.0000  6 Rh 2.50-2.51
Ge  0.3788  0.1212  0.0000  6 Rh 2.50-2.51
Ge  0.6212  0.8788  0.0000  6 Rh 2.50-2.51
Ge  0.8788  0.3788  0.0000  6 Rh 2.50-2.51
Rh  0.0000  0.5000  0.5000  4 Ge 2.51
Rh  0.0680  0.7829  0.5000  2 Ge 2.50
Rh  0.2171  0.0680  0.5000  2 Ge 2.50
Rh  0.2829  0.5680  0.5000  2 Ge 2.50
Rh  0.4320  0.2829  0.5000  2 Ge 2.50
Rh  0.5000  0.0000  0.5000  4 Ge 2.51
Rh  0.5680  0.7171  0.5000  2 Ge 2.50
Rh  0.7171  0.4320  0.5000  2 Ge 2.50
Rh  0.7829  0.9320  0.5000  2 Ge 2.50
Rh  0.9320  0.2171  0.5000  2 Ge 2.50

***

A relaxed structure of Nd2UGe3Rh4. Source: Alexandria, functional PBE-GGA.

Results
DFT total energy (eV per atom): -7.1862
Energy relative to the elements (meV/atom): -778
Calculated volume (Å³/cell): 197.32
Spin magnetization (Bohr magnetons per cell): 2.036

Unit cell a=4.2594 b=4.2594 c=10.8758 alpha=90.00 beta=90.00 gamma=90.00
Last column: nearest neighbours and their distance in Å.
Fractional coordinates of all 10 atoms:
Nd  0.0000  0.5000  0.2286  4 Ge 3.22, 8 Rh 3.27-3.30
Nd  0.5000  0.0000  0.7714  4 Ge 3.22, 8 Rh 3.27-3.30
U  0.0000  0.0000  0.5000  4 Rh 2.67
Ge  0.0000  0.5000  0.8769  5 Rh 2.49-2.52
Ge  0.5000  0.0000  0.1231  5 Rh 2.49-2.52
Ge  0.5000  0.5000  0.5000  4 Rh 2.67
Rh  0.0000  0.0000  0.0000  4 Ge 2.52
Rh  0.0000  0.5000  0.6481  3 Ge 2.49-2.67, 2 U 2.67
Rh  0.5000  0.0000  0.3519  3 Ge 2.49-2.67, 2 U 2.67
Rh  0.5000  0.5000  0.0000  4 Ge 2.52

***

A relaxed structure of Nd2UGeRh6. Source: Alexandria, functional PBE-GGA.

Results
DFT total energy (eV per atom): -7.5268
Energy relative to the elements (meV/atom): -572
Calculated volume (Å³/cell): 197.12
Spin magnetization (Bohr magnetons per cell): 0.000

Unit cell a=5.5597 b=6.3988 c=6.6207 alpha=107.49 beta=103.93 gamma=108.86
Last column: nearest neighbours and their distance in Å.
Fractional coordinates of all 10 atoms:
Nd  0.0335  0.1672  0.3073  5 Rh 2.85-3.02
Nd  0.9665  0.8328  0.6927  5 Rh 2.85-3.02
U  0.5000  0.5000  0.0000  4 Rh 2.44-2.52
Ge  0.5000  0.0000  0.5000  6 Rh 2.46-2.72
Rh  0.0038  0.3689  0.7675  1 U 2.52, 1 Ge 2.72, 1 Rh 2.72
Rh  0.3835  0.8442  0.0842  1 U 2.44, 1 Ge 2.46, 2 Rh 2.69-2.72
Rh  0.4042  0.6620  0.6425  1 Ge 2.56, 2 Rh 2.79-2.85, 1 Nd 2.85, 1 U 2.86
Rh  0.5958  0.3380  0.3575  1 Ge 2.56, 2 Rh 2.79-2.85, 1 Nd 2.85, 1 U 2.86
Rh  0.6165  0.1558  0.9158  1 U 2.44, 1 Ge 2.46, 2 Rh 2.69-2.72
Rh  0.9962  0.6311  0.2325  1 U 2.52, 1 Ge 2.72, 1 Rh 2.72

***

A relaxed structure of NdYGeRh. Source: Alexandria, functional PBE-GGA.

Results
DFT total energy (eV per atom): -6.4628
Polymorph energy (0 for the lowest one) (meV per atom): 153
Energy relative to the elements (meV/atom): -663
Calculated volume (Å³/cell): 90.88
Spin magnetization (Bohr magnetons per cell): 0.000

Unit cell a=5.0466 b=5.0466 c=5.0466 alpha=60.00 beta=60.00 gamma=60.00
Last column: nearest neighbours and their distance in Å.
Fractional coordinates of all 4 atoms:
Nd  0.0000  0.0000  0.0000  4 Rh 3.09, 4 Ge 3.09
Y  0.5000  0.5000  0.5000  4 Ge 3.09, 4 Rh 3.09
Ge  0.2500  0.2500  0.2500  4 Nd 3.09, 4 Y 3.09
Rh  0.7500  0.7500  0.7500  4 Nd 3.09, 4 Y 3.09

***

A relaxed structure of NdYGeRh. Source: Alexandria, functional PBE-GGA.

Results
DFT total energy (eV per atom): -6.6158
Polymorph energy (0 for the lowest one) (meV per atom): 0
Energy relative to the elements (meV/atom): -816
Calculated volume (Å³/cell): 93.92
Spin magnetization (Bohr magnetons per cell): 0.000

Unit cell a=4.2304 b=5.6960 c=5.6960 alpha=43.18 beta=90.00 gamma=90.00
Last column: nearest neighbours and their distance in Å.
Fractional coordinates of all 4 atoms:
Nd  0.0000  0.0000  0.0000  3 Rh 2.93-3.16, 4 Ge 3.08
Y  0.5000  0.2809  0.2809  3 Ge 3.03-3.11, 4 Rh 3.04
Ge  0.5000  0.5742  0.5742  2 Rh 2.64
Rh  0.0000  0.7237  0.7237  2 Ge 2.64, 1 Nd 2.93

***

A relaxed structure of Nd2YGe3Rh4. Source: Alexandria, functional PBE-GGA.

Results
DFT total energy (eV per atom): -6.7972
Energy relative to the elements (meV/atom): -871
Calculated volume (Å³/cell): 197.63
Spin magnetization (Bohr magnetons per cell): 0.000

Unit cell a=4.1923 b=4.1923 c=11.2450 alpha=90.00 beta=90.00 gamma=90.00
Last column: nearest neighbours and their distance in Å.
Fractional coordinates of all 10 atoms:
Nd  0.0000  0.5000  0.2293  4 Ge 3.21, 8 Rh 3.22-3.32
Nd  0.5000  0.0000  0.7707  4 Ge 3.21, 8 Rh 3.22-3.32
Y  0.0000  0.0000  0.5000  4 Rh 2.76, 4 Ge 2.96
Ge  0.0000  0.5000  0.8792  5 Rh 2.47-2.50
Ge  0.5000  0.0000  0.1208  5 Rh 2.47-2.50
Ge  0.5000  0.5000  0.5000  4 Rh 2.76, 4 Y 2.96
Rh  0.0000  0.0000  0.0000  4 Ge 2.50
Rh  0.0000  0.5000  0.6597  3 Ge 2.47-2.76, 2 Y 2.76
Rh  0.5000  0.0000  0.3403  3 Ge 2.47-2.76, 2 Y 2.76
Rh  0.5000  0.5000  0.0000  4 Ge 2.50